# 1
First-principles (GGA-PBE) data for ZrBRh3 after structural relaxation, as listed in Alexandria.

a b c (Å): 5.440 5.408 5.505
angles (deg): 95.83 83.50 116.97
Fractional positions:
B  0.768  0.002  0.631
B  0.258  0.496  0.131
Rh  0.986  0.119  0.290
Rh  0.482  0.613  0.449
Rh  0.140  0.772  0.000
Rh  0.648  0.773  0.948
Rh  0.137  0.273  0.793
Rh  0.490  0.126  0.521
Zr  0.985  0.649  0.526
Zr  0.606  0.271  0.039

The value obtained for the density of states at the Fermi level is 0.713 states/eV/atom. The calculation puts the theoretical density at 9.53 g cm⁻³. The total magnetization is 0.0 μB/cell. The calculation puts the total energy at -80.58 eV for the cell shown.

=====

# 2
First-principles (GGA-PBE) data for InSb3F after structural relaxation, as listed in Alexandria.

a b c (Å): 5.041 5.041 5.041
angles (deg): 90.00 90.00 90.00
Fractional positions:
F  0.000  0.000  0.000
In  0.500  0.500  0.500
Sb  0.000  0.500  0.000
Sb  0.500  0.000  0.000
Sb  0.000  0.000  0.500

The value obtained for the density of states at the Fermi level is 0.792 states/eV/atom. The calculation puts the theoretical density at 6.47 g cm⁻³. The value obtained for the formation energy without anion corrections is -107 meV/atom. The total magnetization is 0.0 μB/cell. The distance to the lowest polymorph of the same formula comes out at 0.0 kJ per mole of atoms. The calculation puts the total energy at -17.51 eV for the cell shown.

=====

# 3
First-principles (GGA-PBE) data for Er8Pd2Pb after structural relaxation, as listed in Alexandria.

a b c (Å): 5.461 7.995 7.995
angles (deg): 114.14 98.48 98.48
Site moments in Bohr magnetons follow the coordinates.
Fractional positions:
Er  0.584  0.085  0.335  0.13
Er  0.416  0.671  0.921  0.13
Er  0.000  0.759  0.247  0.06
Er  0.000  0.247  0.759  0.06
Er  0.804  0.607  0.607  0.14
Er  0.416  0.921  0.671  0.13
Er  0.584  0.335  0.085  0.13
Er  0.196  0.399  0.399  0.13
Pd  0.500  0.700  0.307  0.02
Pd  0.500  0.307  0.700  0.02
Pb  0.999  0.003  0.003  0.00

The value obtained for the density of states at the Fermi level is 1.290 states/eV/atom. The calculation puts the theoretical density at 9.52 g cm⁻³. The total magnetization is 1.2 μB/cell. The calculation puts the total energy at -54.48 eV for the cell shown.

=====

# 4
First-principles (GGA-PBE) data for Al2GaPb after structural relaxation, as listed in Alexandria.

a b c (Å): 7.761 7.761 6.245
angles (deg): 51.58 51.58 90.00
Fractional positions:
Al  0.165  0.625  0.250
Al  0.375  0.415  0.750
Al  0.875  0.835  0.750
Al  0.585  0.125  0.250
Ga  0.500  0.500  0.000
Ga  0.250  0.750  0.500
Pb  0.000  0.000  0.000
Pb  0.750  0.250  0.500

The value obtained for the density of states at the Fermi level is 0.652 states/eV/atom. The calculation puts the theoretical density at 6.12 g cm⁻³. The total magnetization is 0.0 μB/cell. The distance to the lowest polymorph of the same formula comes out at 7.3 kJ per mole of atoms. The calculation puts the total energy at -26.49 eV for the cell shown.

=====

Look up the theoretical density of the second one. 6.47 g cm⁻³

=====

theoretical density of number 1 (ZrBRh3)? 9.53 g cm⁻³